(1)
The following is a SCAN calculation of HfMg3Fe at its PBEsol-relaxed geometry, from Alexandria.

Properties
The total energy comes out at -18.42 eV per atom. The value obtained for the size of the total moment is 1.750 μB/f.u. For the density of states at the Fermi level, the calculation gives 0.42 states/eV/atom. The value obtained for the formation energy from the elements is 729 meV/atom.

a = 4.673 Å, b = 4.673 Å, c = 4.673 Å
α = 90.00°, β = 90.00°, γ = 90.00°
Atoms (fractional coordinates):
Mg 0.000 0.500 0.000
Mg 0.000 0.000 0.500
Mg 0.500 0.000 0.000
Hf 0.500 0.500 0.500
Fe 0.000 0.000 0.000

***

(2)
The following is a SCAN calculation of Ti2TcB2 at its PBEsol-relaxed geometry, from Alexandria.

Properties
The total energy comes out at -17.31 eV per atom. The value obtained for the size of the total moment is 0.000 μB/f.u. For the density of states at the Fermi level, the calculation gives 0.22 states/eV/atom. The value obtained for the formation energy from the elements is -918 meV/atom.

a = 3.133 Å, b = 5.885 Å, c = 5.885 Å
α = 90.00°, β = 90.00°, γ = 90.00°
Atoms (fractional coordinates):
B 0.000 0.392 0.892
B 0.000 0.892 0.608
B 0.000 0.608 0.108
B 0.000 0.108 0.392
Tc 0.000 0.000 0.000
Tc 0.000 0.500 0.500
Ti 0.500 0.181 0.681
Ti 0.500 0.681 0.819
Ti 0.500 0.819 0.319
Ti 0.500 0.319 0.181

***

(3)
The following is a SCAN calculation of Ba5In at its PBEsol-relaxed geometry, from Alexandria.

Properties
For the offset from the most stable computed form, the calculation gives 0.000 eV per atom. The total energy comes out at -38.70 eV per atom. The value obtained for the size of the total moment is 0.063 μB/f.u. For the density of states at the Fermi level, the calculation gives 1.10 states/eV/atom. The value obtained for the formation energy from the elements is -177 meV/atom.

a = 4.340 Å, b = 7.691 Å, c = 10.341 Å
α = 67.96°, β = 77.89°, γ = 73.61°
Atoms (fractional coordinates):
Ba 0.062 0.896 0.980
Ba 0.694 0.000 0.611
Ba 0.327 0.103 0.242
Ba 0.355 0.457 0.834
Ba 0.034 0.543 0.388
In 0.694 0.500 0.111

***

(4)
The following is a SCAN calculation of CoSb2W at its PBEsol-relaxed geometry, from Alexandria.

Properties
For the offset from the most stable computed form, the calculation gives 0.000 eV per atom. The formation energy (no corrections) is 0.341 eV per atom. The total energy comes out at -40.04 eV per atom. The value obtained for the size of the total moment is 0.889 μB/f.u. For the density of states at the Fermi level, the calculation gives 0.42 states/eV/atom.

a = 2.984 Å, b = 2.985 Å, c = 8.613 Å
α = 90.00°, β = 90.00°, γ = 90.00°
Atoms (fractional coordinates):
Co 0.500 0.500 0.722
Sb 0.000 0.000 0.916
Sb 0.500 0.500 0.312
W 0.000 0.000 0.550

***

(5)
The following is a SCAN calculation of Ti2NbP2 at its PBEsol-relaxed geometry, from Alexandria.

Properties
The total energy comes out at -18.30 eV per atom. The value obtained for the size of the total moment is 0.000 μB/f.u. For the density of states at the Fermi level, the calculation gives 0.61 states/eV/atom. The value obtained for the formation energy from the elements is -1102 meV/atom.

a = 3.356 Å, b = 6.542 Å, c = 6.542 Å
α = 90.00°, β = 90.00°, γ = 90.00°
Atoms (fractional coordinates):
P 0.000 0.362 0.862
P 0.000 0.862 0.638
P 0.000 0.638 0.138
P 0.000 0.138 0.362
Nb 0.000 0.000 0.000
Nb 0.000 0.500 0.500
Ti 0.500 0.159 0.659
Ti 0.500 0.659 0.841
Ti 0.500 0.841 0.341
Ti 0.500 0.341 0.159

***

(6)
The following is a SCAN calculation of IrAuSN2 at its PBEsol-relaxed geometry, from Alexandria.

Properties
The formation energy (no corrections) is 2.223 eV per atom. The total energy comes out at -31.47 eV per atom. The value obtained for the size of the total moment is 0.001 μB/f.u. For the density of states at the Fermi level, the calculation gives 0.82 states/eV/atom.

a = 3.619 Å, b = 3.619 Å, c = 7.047 Å
α = 90.00°, β = 90.00°, γ = 90.00°
Atoms (fractional coordinates):
S 0.000 0.000 0.500
Ir 0.500 0.500 0.500
Au 0.000 0.000 0.000
N 0.000 0.500 0.000
N 0.500 0.000 0.000

***

(7)
The following is a SCAN calculation of LiScPb at its PBEsol-relaxed geometry, from Alexandria.

Properties
The total energy comes out at -31.19 eV per atom. The value obtained for the size of the total moment is 0.000 μB/f.u. For the density of states at the Fermi level, the calculation gives 0.15 states/eV/atom. The value obtained for the formation energy from the elements is -390 meV/atom.

a = 4.473 Å, b = 4.473 Å, c = 4.473 Å
α = 60.00°, β = 60.00°, γ = 60.00°
Atoms (fractional coordinates):
Li 0.250 0.250 0.250
Pb 0.000 0.000 0.000
Sc 0.500 0.500 0.500

***

(8)
The following is a SCAN calculation of ZrScIn2 at its PBEsol-relaxed geometry, from Alexandria.

Properties
For the offset from the most stable computed form, the calculation gives 0.075 eV per atom. The total energy comes out at -28.38 eV per atom. The value obtained for the size of the total moment is 0.000 μB/f.u. For the density of states at the Fermi level, the calculation gives 0.68 states/eV/atom. The value obtained for the formation energy from the elements is -450 meV/atom.

a = 3.161 Å, b = 5.152 Å, c = 5.249 Å
α = 90.00°, β = 89.95°, γ = 90.00°
Atoms (fractional coordinates):
Sc 0.374 0.000 0.433
Zr 0.376 0.500 0.817
In 0.875 0.000 0.931
In 0.875 0.500 0.319